(1)
Compound: VGa2OsS
Source: Alexandria via LeMat-Bulk
Functional: PBE
Structure: relaxed

Lattice parameters (Å, degrees): 4.914 4.376 4.914 90.00 90.00 90.00
Fractional coordinates of all 5 atoms:
Ga 0.500 0.000 0.000
Ga 0.000 0.000 0.500
V 0.500 0.500 0.500
Os 0.000 0.000 0.000
S 0.000 0.500 0.000

Summary:
- Formation energy from raw total energies: 0.969 eV per atom
- Uncorrected energy: -25.7 eV/cell
- Total moment: 0.281 μB per cell

---

(2)
Compound: VGaOsS2
Source: Alexandria via LeMat-Bulk
Functional: PBE
Structure: relaxed

Lattice parameters (Å, degrees): 4.416 4.666 4.416 90.00 90.00 90.00
Fractional coordinates of all 5 atoms:
Os 0.500 0.500 0.500
S 0.500 0.000 0.000
S 0.000 0.000 0.500
V 0.000 0.500 0.000
Ga 0.000 0.000 0.000

Summary:
- Formation energy from raw total energies: 1.688 eV per atom
- Uncorrected energy: -23.2 eV/cell
- Total moment: 0.002 μB per cell

---

(3)
Compound: ZrGa2OsS
Source: Alexandria via LeMat-Bulk
Functional: PBE
Structure: relaxed

Lattice parameters (Å, degrees): 4.885 4.385 4.885 90.00 90.00 90.00
Fractional coordinates of all 5 atoms:
Ga 0.500 0.000 0.000
Ga 0.000 0.000 0.500
Os 0.000 0.000 0.000
Zr 0.500 0.500 0.500
S 0.000 0.500 0.000

Summary:
- Formation energy from raw total energies: 0.532 eV per atom
- Uncorrected energy: -27.3 eV/cell
- Total moment: 0.005 μB per cell

---

(4)
Compound: GaSbOs2
Source: Alexandria via LeMat-Bulk
Functional: PBE
Structure: relaxed

Lattice parameters (Å, degrees): 4.468 4.468 4.468 60.00 60.00 60.00
Fractional coordinates of all 4 atoms:
Os 0.750 0.750 0.750
Os 0.250 0.250 0.250
Sb 0.500 0.500 0.500
Ga 0.000 0.000 0.000

Summary:
- Formation energy from raw total energies: 0.289 eV per atom
- Uncorrected energy: -28.5 eV/cell
- Energy above the lowest structure with this stoichiometry: 0.0 meV/atom
- Total moment: 0.000 μB per cell

---

(5)
Compound: GaSbOs2
Source: Alexandria via LeMat-Bulk
Functional: PBE
Structure: relaxed

Lattice parameters (Å, degrees): 4.151 4.151 9.119 76.84 76.84 90.00
Fractional coordinates of all 8 atoms:
Ga 0.500 0.500 0.000
Ga 0.250 0.750 0.500
Os 0.186 0.625 0.250
Os 0.564 0.125 0.250
Os 0.875 0.814 0.750
Os 0.375 0.436 0.750
Sb 0.000 0.000 0.000
Sb 0.750 0.250 0.500

Summary:
- Formation energy from raw total energies: 0.666 eV per atom
- Uncorrected energy: -53.9 eV/cell
- Energy above the lowest structure with this stoichiometry: 376.3 meV/atom
- Total moment: 0.000 μB per cell

---

(6)
Compound: Ga3SbOs
Source: Alexandria via LeMat-Bulk
Functional: PBE
Structure: relaxed

Lattice parameters (Å, degrees): 4.872 4.872 4.872 90.00 90.00 90.00
Fractional coordinates of all 5 atoms:
Ga 0.500 0.000 0.000
Ga 0.000 0.000 0.500
Ga 0.000 0.500 0.000
Os 0.000 0.000 0.000
Sb 0.500 0.500 0.500

Summary:
- Formation energy from raw total energies: 0.311 eV per atom
- Uncorrected energy: -22.9 eV/cell
- Energy above the lowest structure with this stoichiometry: 0.0 meV/atom
- Total moment: 1.736 μB per cell

---

(7)
Compound: GaSb2TeOs
Source: Alexandria via LeMat-Bulk
Functional: PBE
Structure: relaxed

Lattice parameters (Å, degrees): 5.022 5.022 5.935 90.00 90.00 90.00
Fractional coordinates of all 5 atoms:
Os 0.000 0.000 0.000
Te 0.000 0.000 0.500
Ga 0.500 0.500 0.500
Sb 0.000 0.500 0.000
Sb 0.500 0.000 0.000

Summary:
- Formation energy from raw total energies: 0.599 eV per atom
- Uncorrected energy: -22.6 eV/cell
- Energy above the lowest structure with this stoichiometry: 0.0 meV/atom
- Total moment: 0.000 μB per cell

---

(8)
Compound: GaSb2TeOs
Source: Alexandria via LeMat-Bulk
Functional: PBE
Structure: relaxed

Lattice parameters (Å, degrees): 5.127 5.127 5.177 90.00 90.00 90.00
Fractional coordinates of all 5 atoms:
Sb 0.500 0.000 0.000
Sb 0.000 0.500 0.000
Te 0.000 0.000 0.500
Ga 0.000 0.000 0.000
Os 0.500 0.500 0.500

Summary:
- Formation energy from raw total energies: 1.546 eV per atom
- Uncorrected energy: -17.9 eV/cell
- Energy above the lowest structure with this stoichiometry: 946.8 meV/atom
- Total moment: 1.569 μB per cell

---

(9)
Compound: TlGaSb2Os
Source: Alexandria via LeMat-Bulk
Functional: PBE
Structure: relaxed

Lattice parameters (Å, degrees): 5.254 4.859 5.254 90.00 90.00 90.00
Fractional coordinates of all 5 atoms:
Sb 0.500 0.000 0.000
Sb 0.000 0.000 0.500
Tl 0.500 0.500 0.500
Os 0.000 0.000 0.000
Ga 0.000 0.500 0.000

Summary:
- Formation energy from raw total energies: 0.330 eV per atom
- Uncorrected energy: -23.2 eV/cell
- Total moment: 0.000 μB per cell

---

(10)
Compound: GaSb2OsW
Source: Alexandria via LeMat-Bulk
Functional: PBE
Structure: relaxed

Lattice parameters (Å, degrees): 5.169 4.894 5.169 90.00 90.00 90.00
Fractional coordinates of all 5 atoms:
Sb 0.000 0.000 0.500
Sb 0.500 0.000 0.000
Ga 0.000 0.500 0.000
W 0.000 0.000 0.000
Os 0.500 0.500 0.500

Summary:
- Formation energy from raw total energies: 1.522 eV per atom
- Uncorrected energy: -27.8 eV/cell
- Total moment: 3.020 μB per cell

---

(11)
Compound: Sc5GaOs4
Source: Alexandria via LeMat-Bulk
Functional: PBE
Structure: relaxed

Lattice parameters (Å, degrees): 3.258 3.258 16.140 90.00 90.00 90.00
Fractional coordinates of all 10 atoms:
Sc 0.500 0.500 0.110
Sc 0.500 0.500 0.696
Sc 0.500 0.500 0.500
Sc 0.500 0.500 0.304
Sc 0.500 0.500 0.890
Os 0.000 0.000 0.799
Os 0.000 0.000 0.599
Os 0.000 0.000 0.201
Os 0.000 0.000 0.401
Ga 0.000 0.000 0.000

Summary:
- E_form: -0.439 eV per atom
- Uncorrected energy: -84.0 eV/cell
- Total moment: 0.000 μB per cell

---

(12)
Compound: Sc3Ga2Os
Source: Alexandria via LeMat-Bulk
Functional: PBE
Structure: relaxed

Lattice parameters (Å, degrees): 3.308 3.308 9.927 90.00 90.00 90.00
Fractional coordinates of all 6 atoms:
Sc 0.000 0.000 0.000
Sc 0.000 0.000 0.653
Sc 0.000 0.000 0.347
Ga 0.500 0.500 0.175
Ga 0.500 0.500 0.825
Os 0.500 0.500 0.500

Summary:
- E_form: -0.610 eV per atom
- Uncorrected energy: -39.9 eV/cell
- Energy above the lowest structure with this stoichiometry: 0.0 meV/atom
- Total moment: 0.000 μB per cell